Entry 1:
Compound: Sm2PuRuN4
Source: Alexandria
Functional: PBE
Structure: optimized geometry

Results
Space-group type: No. 63
N(E_F): 0.885 states/eV/atom

a = 6.1049 Å, b = 6.1049 Å, c = 11.8400 Å
α = 90.00°, β = 90.00°, γ = 147.92°
Positions (direct):
Sm: 0.1310 0.8690 0.5477
Sm: 0.1310 0.8690 0.9523
Sm: 0.8690 0.1310 0.0477
Sm: 0.8690 0.1310 0.4523
Pu: 0.3860 0.6140 0.7500
Pu: 0.6140 0.3860 0.2500
Ru: 0.3530 0.6470 0.2500
Ru: 0.6470 0.3530 0.7500
N: 0.0372 0.9628 0.7500
N: 0.2213 0.7787 0.1386
N: 0.2213 0.7787 0.3614
N: 0.5000 0.5000 0.0000
N: 0.5000 0.5000 0.5000
N: 0.7787 0.2213 0.6386
N: 0.7787 0.2213 0.8614
N: 0.9628 0.0372 0.2500


Entry 2:
Compound: SrPu2RuN4
Source: Alexandria
Functional: PBE
Structure: optimized geometry

Results
Space-group type: No. 63
N(E_F): 1.550 states/eV/atom

a = 6.1173 Å, b = 6.1173 Å, c = 12.0064 Å
α = 90.00°, β = 90.00°, γ = 146.77°
Positions (direct):
Sr: 0.0799 0.9201 0.7500
Sr: 0.9201 0.0799 0.2500
Pu: 0.3687 0.6313 0.5507
Pu: 0.3687 0.6313 0.9493
Pu: 0.6313 0.3687 0.0507
Pu: 0.6313 0.3687 0.4493
Ru: 0.1835 0.8165 0.2500
Ru: 0.8165 0.1835 0.7500
N: 0.0000 0.0000 0.0000
N: 0.0000 0.0000 0.5000
N: 0.2514 0.7486 0.0979
N: 0.2514 0.7486 0.4021
N: 0.4088 0.5912 0.7500
N: 0.5912 0.4088 0.2500
N: 0.7486 0.2514 0.5979
N: 0.7486 0.2514 0.9021


Entry 3:
Compound: Tb2PuRuN4
Source: Alexandria
Functional: PBE
Structure: optimized geometry

Results
Space-group type: No. 63
N(E_F): 0.917 states/eV/atom

a = 6.0425 Å, b = 6.0425 Å, c = 11.6054 Å
α = 90.00°, β = 90.00°, γ = 147.87°
Positions (direct):
Tb: 0.1304 0.8696 0.5465
Tb: 0.1304 0.8696 0.9535
Tb: 0.8696 0.1304 0.0465
Tb: 0.8696 0.1304 0.4535
Pu: 0.3840 0.6160 0.7500
Pu: 0.6160 0.3840 0.2500
Ru: 0.3558 0.6442 0.2500
Ru: 0.6442 0.3558 0.7500
N: 0.0352 0.9648 0.7500
N: 0.2249 0.7751 0.1341
N: 0.2249 0.7751 0.3659
N: 0.5000 0.5000 0.0000
N: 0.5000 0.5000 0.5000
N: 0.7751 0.2249 0.6341
N: 0.7751 0.2249 0.8659
N: 0.9648 0.0352 0.2500


What magnetic moment values result from the calculations? In sequence: 3.98 8.10 3.98 μB per formula unit.
What total DFT energy (no corrections) values result from the calculations? In sequence: -146.10 -159.06 -147.34 eV for the cell shown.
What uncorrected formation energy values result from the calculations? In sequence: -838 -826 -938 meV/atom.